VASP calculation (PBE) on crystalline HoTl2AgBr6 at its relaxed geometry.

## Properties
Electronic total energy in eV/atom: -3.38
M_tot in μB per formula unit: 0.00
DOS at the Fermi energy in states/eV per cell: 0.0
Formation energy from raw total energies in eV/atom: -1.162

Lattice parameters (Å, degrees): 7.647 8.073 10.828 90.00 89.33 90.00
Atoms (fractional coordinates):
Ho1 0.500 0.000 0.500
Ho2 0.000 0.500 0.000
Tl1 0.026 0.921 0.253
Tl2 0.526 0.579 0.753
Tl3 0.974 0.079 0.747
Tl4 0.474 0.421 0.247
Ag1 0.500 0.000 0.000
Ag2 0.000 0.500 0.500
Br1 0.298 0.690 0.047
Br2 0.798 0.810 0.547
Br3 0.702 0.310 0.953
Br4 0.202 0.190 0.453
Br5 0.313 0.709 0.453
Br6 0.813 0.791 0.953
Br7 0.687 0.291 0.547
Br8 0.187 0.209 0.047
Br9 0.901 0.520 0.250
Br10 0.401 0.980 0.750
Br11 0.099 0.480 0.750
Br12 0.599 0.020 0.250


VASP calculation (PBE) on crystalline HoTl2Ag2Br6 at its relaxed geometry.

## Properties
Electronic total energy in eV/atom: -3.20
M_tot in μB per formula unit: 0.00
DOS at the Fermi energy in states/eV per cell: 2.1
Formation energy from raw total energies in eV/atom: -0.920

Lattice parameters (Å, degrees): 8.833 7.764 8.077 117.70 90.00 124.67
Atoms (fractional coordinates):
Ho1 0.500 0.000 0.500
Tl1 0.721 0.443 0.198
Tl2 0.279 0.557 0.802
Ag1 0.966 0.932 0.635
Ag2 0.034 0.068 0.365
Br1 0.758 0.516 0.666
Br2 0.240 0.909 0.207
Br3 0.331 0.091 0.793
Br4 0.760 0.091 0.793
Br5 0.669 0.909 0.207
Br6 0.242 0.484 0.334


VASP calculation (PBE) on crystalline HoTlAg2Br6 at its relaxed geometry.

## Properties
Electronic total energy in eV/atom: -3.30
M_tot in μB per formula unit: 0.00
DOS at the Fermi energy in states/eV per cell: 0.0
Formation energy from raw total energies in eV/atom: -1.030

Lattice parameters (Å, degrees): 7.414 7.412 8.057 62.61 62.57 59.95
Atoms (fractional coordinates):
Ho1 0.328 0.328 0.016
Tl1 0.809 0.809 0.572
Ag1 0.516 0.516 0.453
Ag2 0.996 0.997 0.011
Br1 0.578 0.262 0.231
Br2 0.262 0.929 0.231
Br3 0.929 0.578 0.231
Br4 0.351 0.735 0.757
Br5 0.735 0.157 0.756
Br6 0.157 0.352 0.757


VASP calculation (PBE) on crystalline Ag3IBr8 at its relaxed geometry.

## Properties
Electronic total energy in eV/atom: -2.04
M_tot in μB per formula unit: 0.00
DOS at the Fermi energy in states/eV per cell: 0.9
Formation energy from raw total energies in eV/atom: -0.088

Lattice parameters (Å, degrees): 8.558 8.542 7.415 105.79 90.00 120.06
Atoms (fractional coordinates):
Ag1 0.500 0.000 0.000
Ag2 0.500 0.500 0.000
Ag3 0.000 0.500 0.000
I1 0.000 0.000 0.000
Br1 0.308 0.617 0.841
Br2 0.692 0.383 0.159
Br3 0.258 0.077 0.771
Br4 0.819 0.077 0.771
Br5 0.818 0.635 0.765
Br6 0.182 0.365 0.235
Br7 0.181 0.923 0.229
Br8 0.742 0.923 0.229


VASP calculation (PBE) on crystalline AgIBr2 at its relaxed geometry.

## Properties
Electronic total energy in eV/atom: -1.57
M_tot in μB per formula unit: 2.00
Energy above the lowest structure with this stoichiometry in eV per atom: 0.532
DOS at the Fermi energy in states/eV per cell: 2.9
Formation energy from raw total energies in eV/atom: 0.365

Lattice parameters (Å, degrees): 5.476 5.476 5.476 60.00 60.00 60.00
Atoms (fractional coordinates):
I1 0.500 0.500 0.500
Br1 0.250 0.250 0.250
Br2 0.750 0.750 0.750
Ag1 0.000 0.000 0.000


VASP calculation (PBE) on crystalline AgIBr at its relaxed geometry.

## Properties
Electronic total energy in eV/atom: -2.06
M_tot in μB per formula unit: 0.00
Energy above the lowest structure with this stoichiometry in eV per atom: 0.183
DOS at the Fermi energy in states/eV per cell: 3.5
Formation energy from raw total energies in eV/atom: -0.034

Lattice parameters (Å, degrees): 4.026 3.287 22.244 94.24 46.99 90.00
Atoms (fractional coordinates):
Br1 0.724 0.187 0.375
Br2 0.276 0.813 0.625
Ag1 0.063 0.275 0.549
Ag2 0.937 0.725 0.451
I1 0.135 0.066 0.133
I2 0.865 0.934 0.867


VASP calculation (PBE) on crystalline Ag2IBr8 at its relaxed geometry.

## Properties
Electronic total energy in eV/atom: -1.93
M_tot in μB per formula unit: 0.00
DOS at the Fermi energy in states/eV per cell: 3.8
Formation energy from raw total energies in eV/atom: -0.056

Lattice parameters (Å, degrees): 6.850 8.341 8.341 85.32 100.74 100.74
Atoms (fractional coordinates):
Ag1 0.307 0.774 0.774
Ag2 0.693 0.226 0.226
I1 0.000 0.000 0.000
Br1 0.828 0.935 0.272
Br2 0.172 0.728 0.065
Br3 0.600 0.678 0.678
Br4 0.400 0.322 0.322
Br5 0.828 0.272 0.935
Br6 0.172 0.065 0.728
Br7 0.185 0.543 0.543
Br8 0.815 0.457 0.457


VASP calculation (PBE) on crystalline AgI3Br2 at its relaxed geometry.

## Properties
Electronic total energy in eV/atom: -1.80
M_tot in μB per formula unit: 0.00
DOS at the Fermi energy in states/eV per cell: 6.6
Formation energy from raw total energies in eV/atom: 0.003

Lattice parameters (Å, degrees): 10.325 10.325 10.159 57.70 57.70 35.09
Atoms (fractional coordinates):
Ag1 0.054 0.946 0.750
Ag2 0.946 0.054 0.250
I1 0.445 0.555 0.250
I2 0.555 0.445 0.750
I3 0.914 0.802 0.049
I4 0.198 0.086 0.451
I5 0.802 0.914 0.549
I6 0.086 0.198 0.951
Br1 0.301 0.412 0.545
Br2 0.412 0.301 0.045
Br3 0.588 0.699 0.955
Br4 0.699 0.588 0.455


VASP calculation (PBE) on crystalline Ag5IBr8 at its relaxed geometry.

## Properties
Electronic total energy in eV/atom: -2.30
M_tot in μB per formula unit: 0.00
Energy above the lowest structure with this stoichiometry in eV per atom: 0.000
Formation energy from raw total energies in eV/atom: -0.214

Lattice parameters (Å, degrees): 9.012 9.012 9.012 99.12 99.12 133.08
Atoms (fractional coordinates):
Ag1 0.844 0.338 0.851
Ag2 0.662 0.513 0.506
Ag3 0.487 0.993 0.149
Ag4 0.500 0.500 0.000
Ag5 0.007 0.156 0.494
I1 0.250 0.750 0.500
Br1 0.085 0.627 0.169
Br2 0.373 0.541 0.458
Br3 0.722 0.918 0.195
Br4 0.082 0.277 0.804
Br5 0.473 0.278 0.196
Br6 0.084 0.915 0.542
Br7 0.459 0.916 0.831
Br8 0.723 0.527 0.805


VASP calculation (PBE) on crystalline Ag2IBr6 at its relaxed geometry.

## Properties
Electronic total energy in eV/atom: -2.03
M_tot in μB per formula unit: 0.00
Energy above the lowest structure with this stoichiometry in eV per atom: 0.007
DOS at the Fermi energy in states/eV per cell: 8.6
Formation energy from raw total energies in eV/atom: -0.105

Lattice parameters (Å, degrees): 7.038 10.867 10.867 72.92 119.47 119.47
Atoms (fractional coordinates):
Ag1 0.000 0.313 0.187
Ag2 0.500 0.813 0.687
Ag3 0.000 0.687 0.813
Ag4 0.500 0.187 0.313
I1 0.250 0.750 0.250
I2 0.750 0.250 0.750
Br1 0.374 0.281 0.441
Br2 0.126 0.559 0.719
Br3 0.626 0.719 0.559
Br4 0.874 0.441 0.281
Br5 0.857 0.128 0.628
Br6 0.643 0.372 0.872
Br7 0.143 0.872 0.372
Br8 0.357 0.628 0.128
Br9 0.127 0.219 0.060
Br10 0.373 0.940 0.781
Br11 0.873 0.781 0.940
Br12 0.627 0.060 0.219


VASP calculation (PBE) on crystalline Ag12I3Br5 at its relaxed geometry.

## Properties
Electronic total energy in eV/atom: -2.31
M_tot in μB per formula unit: 0.00
DOS at the Fermi energy in states/eV per cell: 25.8
Formation energy from raw total energies in eV/atom: 0.054

Lattice parameters (Å, degrees): 14.666 14.666 14.666 109.47 109.47 109.47
Atoms (fractional coordinates):
I1 0.750 0.375 0.125
I2 0.875 0.750 0.125
I3 0.375 0.750 0.625
I4 0.250 0.125 0.375
I5 0.875 0.125 0.250
I6 0.375 0.625 0.250
I7 0.625 0.375 0.750
I8 0.125 0.875 0.750
I9 0.750 0.875 0.625
I10 0.625 0.250 0.375
I11 0.125 0.250 0.875
I12 0.250 0.625 0.875
Br1 0.125 0.375 0.250
Br2 0.000 0.500 0.000
Br3 0.000 0.000 0.000
Br4 0.375 0.250 0.125
Br5 0.500 0.000 0.500
Br6 0.500 0.500 0.000
Br7 0.125 0.750 0.375
Br8 0.750 0.125 0.875
Br9 0.750 0.625 0.375
Br10 0.375 0.125 0.750
Br11 0.625 0.875 0.250
Br12 0.500 0.500 0.500
Br13 0.500 0.000 0.000
Br14 0.000 0.000 0.500
Br15 0.250 0.375 0.625
Br16 0.250 0.875 0.125
Br17 0.000 0.500 0.500
Br18 0.875 0.250 0.625
Br19 0.625 0.750 0.875
Br20 0.875 0.625 0.750
Ag1 0.724 0.151 0.073
Ag2 0.349 0.573 0.422
Ag3 0.927 0.349 0.276
Ag4 0.573 0.224 0.151
Ag5 0.573 0.724 0.651
Ag6 0.927 0.578 0.151
Ag7 0.349 0.776 0.427
Ag8 0.078 0.927 0.151
Ag9 0.578 0.927 0.651
Ag10 0.724 0.573 0.151
Ag11 0.776 0.427 0.349
Ag12 0.849 0.922 0.073
Ag13 0.151 0.724 0.573
Ag14 0.349 0.422 0.073
Ag15 0.073 0.922 0.349
Ag16 0.427 0.151 0.578
Ag17 0.073 0.151 0.224
Ag18 0.427 0.651 0.078
Ag19 0.849 0.927 0.276
Ag20 0.151 0.427 0.078
Ag21 0.349 0.927 0.776
Ag22 0.578 0.651 0.427
Ag23 0.922 0.849 0.573
Ag24 0.776 0.349 0.927
Ag25 0.422 0.349 0.573
Ag26 0.078 0.151 0.427
Ag27 0.224 0.651 0.073
Ag28 0.151 0.073 0.724
Ag29 0.651 0.073 0.224
Ag30 0.849 0.573 0.922
Ag31 0.573 0.349 0.922
Ag32 0.573 0.849 0.422
Ag33 0.927 0.849 0.776
Ag34 0.927 0.078 0.651
Ag35 0.849 0.276 0.427
Ag36 0.151 0.078 0.927
Ag37 0.651 0.578 0.927
Ag38 0.422 0.073 0.349
Ag39 0.276 0.427 0.849
Ag40 0.224 0.573 0.651
Ag41 0.922 0.073 0.849
Ag42 0.651 0.224 0.573
Ag43 0.427 0.776 0.849
Ag44 0.073 0.422 0.849
Ag45 0.427 0.276 0.349
Ag46 0.073 0.651 0.724
Ag47 0.651 0.427 0.578
Ag48 0.276 0.849 0.927


VASP calculation (PBE) on crystalline AgIBr at its relaxed geometry.

## Properties
Electronic total energy in eV/atom: -2.20
M_tot in μB per formula unit: 0.00
Energy above the lowest structure with this stoichiometry in eV per atom: 0.043
DOS at the Fermi energy in states/eV per cell: 1.7
Formation energy from raw total energies in eV/atom: -0.174

Lattice parameters (Å, degrees): 3.937 4.643 6.711 90.10 106.84 115.04
Atoms (fractional coordinates):
I1 0.905 0.303 0.099
Br1 0.429 0.845 0.612
Ag1 0.681 0.591 0.368